# MnBeSe2 PBE relaxed
data_MnBeSe2
_cell_length_a 6.596
_cell_length_b 3.927
_cell_length_c 7.033
_cell_angle_alpha 90.00
_cell_angle_beta 93.56
_cell_angle_gamma 90.00
_symmetry_space_group_name_H-M 'P 1 21 1'
_symmetry_Int_Tables_number 4
loop_
_symmetry_equiv_pos_as_xyz
'x,y,z'
'-x,y+1/2,-z'
loop_
_atom_site_label
_atom_site_type_symbol
_atom_site_fract_x
_atom_site_fract_y
_atom_site_fract_z
Mn1 Mn 0.170 0.000 0.391
Be1 Be 0.369 0.502 0.908
Se1 Se 0.229 0.500 0.612
Se2 Se 0.288 0.001 0.057
# total magnetization: 10.0 μB per cell
# calculated density: 4.05 g cm⁻³
# formation energy without anion corrections: -482 meV per atom